Arrangement P

Compound: Zr2Ga2Pb
Source: Alexandria
Functional: PBE
Structure: relaxed

Summary:
* total moment: 0.00 μB/f.u.
* DOS(E_F): 0.6462 states/eV/atom

a = 4.5050 Å, b = 4.5050 Å, c = 11.5664 Å
α = 90.00°, β = 90.00°, γ = 90.00°
Space group I4/mmm (No. 139)
Symmetry-distinct sites (fractional):
Zr 0.0000 0.5000 0.2500 [4 per cell]
Ga 0.0000 0.0000 0.1050 [4 per cell]
Pb 0.0000 0.0000 0.5000 [2 per cell]



Arrangement Q

Compound: Zr2Ga2Pb
Source: Alexandria
Functional: PBE
Structure: relaxed

Summary:
* total moment: 0.00 μB/f.u.
* DOS(E_F): 0.7321 states/eV/atom

a = 8.0681 Å, b = 8.0681 Å, c = 3.3465 Å
α = 90.00°, β = 90.00°, γ = 90.00°
Space group P4/mbm (No. 127)
Symmetry-distinct sites (fractional):
Zr 0.1323 0.3677 0.0000 [4 per cell]
Ga 0.1701 0.6701 0.5000 [4 per cell]
Pb 0.0000 0.0000 0.0000 [2 per cell]



Arrangement R

Compound: Zr2Ga2Pb
Source: Alexandria
Functional: PBE
Structure: relaxed

Summary:
* total moment: 0.00 μB/f.u.
* DOS(E_F): 0.5607 states/eV/atom

a = 7.2839 Å, b = 7.2839 Å, c = 3.9366 Å
α = 90.00°, β = 90.00°, γ = 90.00°
Space group P4/mbm (No. 127)
Symmetry-distinct sites (fractional):
Zr 0.1794 0.3206 0.0000 [4 per cell]
Ga 0.1196 0.6196 0.5000 [4 per cell]
Pb 0.0000 0.0000 0.5000 [2 per cell]



The data favor arrangement R; the next most stable structure lies 10.0 kJ/mol of atoms above it.



Arrangement P

Compound: GaPd4
Source: Alexandria
Functional: PBE
Structure: relaxed

Summary:
* total moment: 0.00 μB/f.u.
* DOS(E_F): 0.9902 states/eV/atom

a = 4.5821 Å, b = 4.5821 Å, c = 4.5821 Å
α = 90.00°, β = 90.00°, γ = 90.00°
Space group Pm-3m (No. 221)
Symmetry-distinct sites (fractional):
Ga 0.0000 0.0000 0.0000 [1 per cell]
Pd 0.0000 0.0000 0.5000 [3 per cell]
Pd 0.5000 0.5000 0.5000 [1 per cell]



Arrangement Q

Compound: GaPd4
Source: Alexandria
Functional: PBE
Structure: relaxed

Summary:
* total moment: 0.00 μB/f.u.
* DOS(E_F): 0.7533 states/eV/atom

a = 9.6230 Å, b = 13.2510 Å, c = 4.8169 Å
α = 90.00°, β = 90.00°, γ = 90.00°
Space group Fdd2 (No. 43)
Symmetry-distinct sites (fractional):
Ga 0.0000 0.0000 0.0000 [8 per cell]
Pd 0.0330 0.1976 0.9669 [16 per cell]
Pd 0.0369 0.0976 0.4714 [16 per cell]



The data favor arrangement Q; the next most stable structure lies 70.3 kJ/mol of atoms above it.



Arrangement P

Compound: Ga6Pd
Source: Alexandria
Functional: PBE
Structure: relaxed

Summary:
* total moment: 0.00 μB/f.u.
* DOS(E_F): 0.6070 states/eV/atom

a = 7.0743 Å, b = 7.0743 Å, c = 7.0743 Å
α = 90.00°, β = 90.00°, γ = 90.00°
Space group Im-3m (No. 229)
Symmetry-distinct sites (fractional):
Ga 0.0000 0.2500 0.5000 [12 per cell]
Pd 0.0000 0.0000 0.0000 [2 per cell]



Arrangement Q

Compound: Ga6Pd
Source: Alexandria
Functional: PBE
Structure: relaxed

Summary:
* total moment: 0.00 μB/f.u.
* DOS(E_F): 0.3029 states/eV/atom

a = 7.5096 Å, b = 8.4441 Å, c = 8.0739 Å
α = 90.00°, β = 90.00°, γ = 90.00°
Space group Cmcm (No. 63)
Symmetry-distinct sites (fractional):
Ga 0.0000 0.1750 0.0142 [8 per cell]
Ga 0.1956 0.5000 0.0000 [8 per cell]
Ga 0.2010 0.2784 0.7500 [8 per cell]
Pd 0.0000 0.3902 0.2500 [4 per cell]



The data favor arrangement Q; the next most stable structure lies 69.0 kJ/mol of atoms above it.



Arrangement P

Compound: Ga5Pd
Source: Alexandria
Functional: PBE
Structure: relaxed

Summary:
* total moment: 0.00 μB/f.u.
* DOS(E_F): 0.3860 states/eV/atom

a = 6.4761 Å, b = 6.4761 Å, c = 10.1751 Å
α = 90.00°, β = 90.00°, γ = 90.00°
Space group I4/mcm (No. 140)
Symmetry-distinct sites (fractional):
Ga 0.0000 0.0000 0.0000 [4 per cell]
Ga 0.1456 0.3544 0.1391 [16 per cell]
Pd 0.0000 0.0000 0.2500 [4 per cell]



Arrangement Q

Compound: Ga5Pd
Source: Alexandria
Functional: PBE
Structure: relaxed

Summary:
* total moment: 0.00 μB/f.u.
* DOS(E_F): 0.3483 states/eV/atom

a = 4.7040 Å, b = 16.2148 Å, c = 2.8348 Å
α = 90.00°, β = 90.00°, γ = 90.00°
Space group Cmmm (No. 65)
Symmetry-distinct sites (fractional):
Ga 0.0000 0.0000 0.0000 [2 per cell]
Ga 0.0000 0.1991 0.5000 [4 per cell]
Ga 0.0000 0.3607 0.0000 [4 per cell]
Pd 0.0000 0.5000 0.5000 [2 per cell]



The data favor arrangement P; the next most stable structure lies 7.9 kJ/mol of atoms above it.



Arrangement P

Compound: Ga2Pd5
Source: Alexandria
Functional: PBE
Structure: relaxed

Summary:
* total moment: 0.00 μB/f.u.
* DOS(E_F): 0.3321 states/eV/atom

a = 6.2641 Å, b = 12.3101 Å, c = 5.5769 Å
α = 90.00°, β = 90.00°, γ = 90.00°
Space group Ibam (No. 72)
Symmetry-distinct sites (fractional):
Ga 0.2306 0.1237 0.0000 [8 per cell]
Pd 0.0000 0.2693 0.2500 [8 per cell]
Pd 0.0000 0.5000 0.2500 [4 per cell]
Pd 0.1627 0.0874 0.5000 [8 per cell]



Arrangement Q

Compound: Ga2Pd5
Source: Alexandria
Functional: PBE
Structure: relaxed

Summary:
* total moment: 0.00 μB/f.u.
* DOS(E_F): 0.2794 states/eV/atom

a = 5.4976 Å, b = 4.1087 Å, c = 18.7118 Å
α = 90.00°, β = 90.00°, γ = 90.00°
Space group Pnma (No. 62)
Symmetry-distinct sites (fractional):
Ga 0.1668 0.2500 0.1763 [4 per cell]
Ga 0.2022 0.2500 0.4565 [4 per cell]
Pd 0.0325 0.2500 0.5883 [4 per cell]
Pd 0.0340 0.2500 0.8817 [4 per cell]
Pd 0.1404 0.2500 0.7337 [4 per cell]
Pd 0.1647 0.2500 0.3203 [4 per cell]
Pd 0.1700 0.2500 0.0304 [4 per cell]



Arrangement R

Compound: Ga2Pd5
Source: Alexandria
Functional: PBE
Structure: relaxed

Summary:
* total moment: 0.00 μB/f.u.
* DOS(E_F): 0.4019 states/eV/atom

a = 12.7957 Å, b = 4.6116 Å, c = 7.3025 Å
α = 90.00°, β = 97.51°, γ = 90.00°
Space group C2/c (No. 15)
Symmetry-distinct sites (fractional):
Ga 0.0898 0.2029 0.0967 [8 per cell]
Pd 0.0000 0.2270 0.7500 [4 per cell]
Pd 0.1182 0.3079 0.4457 [8 per cell]
Pd 0.2164 0.1766 0.8177 [8 per cell]



The data favor arrangement Q; the next most stable structure lies 2.9 kJ/mol of atoms above it.



Arrangement P

Compound: Pm2GaPd4
Source: Alexandria
Functional: PBE
Structure: relaxed

Summary:
* total moment: 0.00 μB/f.u.
* DOS(E_F): 0.5488 states/eV/atom

a = 8.3006 Å, b = 5.5012 Å, c = 7.2126 Å
α = 90.00°, β = 103.60°, γ = 90.00°
Space group C2/m (No. 12)
Symmetry-distinct sites (fractional):
Pm 0.0733 0.0000 0.2673 [4 per cell]
Ga 0.0000 0.5000 0.0000 [2 per cell]
Pd 0.2323 0.5000 0.3403 [4 per cell]
Pd 0.2500 0.2500 0.0000 [4 per cell]



Arrangement Q

Compound: Pm2GaPd4
Source: Alexandria
Functional: PBE
Structure: relaxed

Summary:
* total moment: 0.00 μB/f.u.
* DOS(E_F): 0.2536 states/eV/atom

a = 6.2023 Å, b = 6.2023 Å, c = 8.1135 Å
α = 90.00°, β = 90.00°, γ = 90.00°
Space group I4/mmm (No. 139)
Symmetry-distinct sites (fractional):
Pm 0.0000 0.5000 0.2500 [4 per cell]
Ga 0.0000 0.0000 0.0000 [2 per cell]
Pd 0.2189 0.2189 0.5000 [8 per cell]



The data favor arrangement Q; the next most stable structure lies 4.6 kJ/mol of atoms above it.